Compound: Mn2Cu2Rh
Source: Alexandria
Functional: PBE
Structure: optimized geometry

extended XYZ file:
```
10
Lattice="6.755 0.000 0.000 0.000 6.755 0.000 0.000 0.000 2.679" Properties=species:S:1:pos:R:3 pbc="T T T"
Mn 1.148 2.229 0.000
Mn 2.229 5.606 0.000
Mn 4.526 1.148 0.000
Mn 5.606 4.526 0.000
Cu 0.865 4.242 1.340
Cu 2.513 0.865 1.340
Cu 4.242 5.890 1.340
Cu 5.890 2.513 1.340
Rh 0.000 0.000 1.340
Rh 3.377 3.377 1.340
```

Output
Formation enthalpy at 0 K, kJ/mol of formula units: 259
Excess energy over the best structure of this formula in the dataset, kJ/mol of formula units: 112
Space-group type: P4/mbm, No. 127